Material: SrLi3N
Method: DFT, PBE-GGA
State: optimized geometry

```
data_SrLi3N
_cell_length_a 4.381
_cell_length_b 4.381
_cell_length_c 4.381
_cell_angle_alpha 90.00
_cell_angle_beta 90.00
_cell_angle_gamma 90.00
_space_group_name_H-M_alt 'P m -3 m'
_space_group_IT_number 221
_space_group_name_Hall '-P 4 2 3'
loop_
_atom_site_label
_atom_site_type_symbol
_atom_site_fract_x
_atom_site_fract_y
_atom_site_fract_z
_atom_site_occupancy
Sr1 Sr 0.000 0.000 0.000 1
Li1 Li 0.000 0.500 0.500 1
N1 N 0.500 0.500 0.500 1
```



Material: Sr4Li2N
Method: DFT, PBE-GGA
State: optimized geometry

```
data_Sr4Li2N
_cell_length_a 5.296
_cell_length_b 5.296
_cell_length_c 17.648
_cell_angle_alpha 90.00
_cell_angle_beta 90.00
_cell_angle_gamma 90.00
_space_group_name_H-M_alt 'I 4/m m m'
_space_group_IT_number 139
_space_group_name_Hall '-I 4 2'
loop_
_atom_site_label
_atom_site_type_symbol
_atom_site_fract_x
_atom_site_fract_y
_atom_site_fract_z
_atom_site_occupancy
Sr1 Sr 0.000 0.000 0.149 1
Sr2 Sr 0.000 0.500 0.000 1
Li1 Li 0.000 0.000 0.346 1
N1 N 0.000 0.000 0.000 1
```



Material: SrLiN2
Method: DFT, PBE-GGA
State: optimized geometry

```
data_SrLiN2
_cell_length_a 3.8228
_cell_length_b 3.8228
_cell_length_c 19.9320
_cell_angle_alpha 90.00
_cell_angle_beta 90.00
_cell_angle_gamma 120.00
_space_group_name_H-M_alt 'R -3 m'
_space_group_IT_number 166
_space_group_name_Hall '-R 3 2"'
loop_
_atom_site_label
_atom_site_type_symbol
_atom_site_fract_x
_atom_site_fract_y
_atom_site_fract_z
_atom_site_occupancy
Sr1 Sr 0.0000 0.0000 0.0000 1
Li1 Li 0.0000 0.0000 0.5000 1
N1 N 0.0000 0.0000 0.4033 1
```



Material: Sr2Li3N2
Method: DFT, PBE-GGA
State: optimized geometry

```
data_Sr2Li3N2
_cell_length_a 10.005
_cell_length_b 3.720
_cell_length_c 6.224
_cell_angle_alpha 90.00
_cell_angle_beta 111.62
_cell_angle_gamma 90.00
_space_group_name_H-M_alt 'C 1 2/m 1'
_space_group_IT_number 12
loop_
_space_group_symop_operation_xyz
'x,y,z'
'-x,-y,-z'
'-x,y,-z'
'x,-y,z'
'x+1/2,y+1/2,z'
'-x+1/2,-y+1/2,-z'
'-x+1/2,y+1/2,-z'
'x+1/2,-y+1/2,z'
loop_
_atom_site_label
_atom_site_type_symbol
_atom_site_fract_x
_atom_site_fract_y
_atom_site_fract_z
_atom_site_occupancy
Sr1 Sr 0.130 0.000 0.287 1
Li1 Li 0.000 0.500 0.500 1
Li2 Li 0.171 0.500 0.917 1
N1 N 0.174 0.000 0.726 1
```



Material: Sr12Li3N5
Method: DFT, PBE-GGA
State: optimized geometry

```
data_Sr12Li3N5
_cell_length_a 17.289
_cell_length_b 17.289
_cell_length_c 17.289
_cell_angle_alpha 90.00
_cell_angle_beta 90.00
_cell_angle_gamma 90.00
_space_group_name_H-M_alt 'I a -3 d'
_space_group_IT_number 230
_space_group_name_Hall '-I 4bd 2c 3'
loop_
_atom_site_label
_atom_site_type_symbol
_atom_site_fract_x
_atom_site_fract_y
_atom_site_fract_z
_atom_site_occupancy
Sr1 Sr 0.037 0.043 0.648 1
Li1 Li 0.000 0.250 0.125 1
N1 N 0.000 0.000 0.000 1
N2 N 0.000 0.250 0.375 1
```



Material: Sr5Li2N
Method: DFT, PBE-GGA
State: optimized geometry

```
data_Sr5Li2N
_cell_length_a 5.384
_cell_length_b 18.087
_cell_length_c 13.432
_cell_angle_alpha 90.00
_cell_angle_beta 90.00
_cell_angle_gamma 90.00
_space_group_name_H-M_alt 'C m c m'
_space_group_IT_number 63
_space_group_name_Hall '-C 2c 2'
loop_
_atom_site_label
_atom_site_type_symbol
_atom_site_fract_x
_atom_site_fract_y
_atom_site_fract_z
_atom_site_occupancy
Sr1 Sr 0.000 0.091 0.114 1
Sr2 Sr 0.000 0.296 0.107 1
Sr3 Sr 0.000 0.298 0.750 1
Li1 Li 0.000 0.099 0.651 1
N1 N 0.000 0.189 0.250 1
```



Which E_form (uncorrected) belongs to each record? In order, 0.47 -1.02 2.50 -1.18 -4.36 -0.18 eV per formula unit.